Entry from the Alexandria database: FeAgGe2S after structural relaxation (PBEsol).

Results
- final energy (eV per atom) = -4.9915
- formation energy without anion corrections (eV per atom) = 0.316
- calculated volume (Å³ per atom) = 17.99

The structure in POSCAR format:
```
FeAgGe2S
1.0
4.6781 0.0000 0.0000
0.0000 4.6781 0.0000
0.0000 0.0000 4.1107
Fe Ag Ge S
1 1 2 1
direct
0.0000 0.0000 0.0000 Fe
0.5000 0.5000 0.5000 Ag
0.0000 0.5000 0.0000 Ge
0.5000 0.0000 0.0000 Ge
0.0000 0.0000 0.5000 S
```

***

Entry from the Alexandria database: Fe2AgH2 after structural relaxation (PBEsol).

Results
- final energy (eV per atom) = -5.3099
- calculated volume (Å³ per atom) = 9.72

The structure in POSCAR format:
```
Fe2AgH2
1.0
-1.6801 1.6801 4.3030
1.6801 -1.6801 4.3030
1.6801 1.6801 -4.3030
Fe Ag H
2 1 2
direct
0.2500 0.7500 0.5000 Fe
0.7500 0.2500 0.5000 Fe
0.0000 0.0000 0.0000 Ag
0.3274 0.3274 0.0000 H
0.6726 0.6726 0.0000 H
```

***

Entry from the Alexandria database: LiFeAg2H after structural relaxation (PBEsol).

Results
- final energy (eV per atom) = -3.9963
- calculated volume (Å³ per atom) = 12.31

The structure in POSCAR format:
```
LiFeAg2H
1.0
4.4317 0.0000 0.0000
0.0000 4.4317 0.0000
0.0000 0.0000 3.1345
Li Fe Ag H
1 1 2 1
direct
0.0000 0.0000 0.0000 Li
0.5000 0.5000 0.0000 Fe
0.0000 0.5000 0.5000 Ag
0.5000 0.0000 0.5000 Ag
0.5000 0.5000 0.5000 H
```

***

Please write out number 2 again, unchanged.
Entry from the Alexandria database: Fe2AgH2 after structural relaxation (PBEsol).

Results
- final energy (eV per atom) = -5.3099
- calculated volume (Å³ per atom) = 9.72

The structure in POSCAR format:
```
Fe2AgH2
1.0
-1.6801 1.6801 4.3030
1.6801 -1.6801 4.3030
1.6801 1.6801 -4.3030
Fe Ag H
2 1 2
direct
0.2500 0.7500 0.5000 Fe
0.7500 0.2500 0.5000 Fe
0.0000 0.0000 0.0000 Ag
0.3274 0.3274 0.0000 H
0.6726 0.6726 0.0000 H
```

***

Question: The highest calculated volume belongs to which entry?
Answer: FeAgGe2S

***

Question: Which of these has the lowest calculated volume?
Answer: Fe2AgH2

***

Question: The lowest calculated volume belongs to which entry?
Answer: Fe2AgH2